No. 1
# PBE-GGA LiLaSn2F, optimized geometry
# Energy relative to the elements, uncorrected = 10.6 kcal/mol of atoms
# DFT total energy = -14.423 eV/f.u.
data_LiLaSn2F
_cell_length_a 5.935
_cell_length_b 5.935
_cell_length_c 9.173
_cell_angle_alpha 90.00
_cell_angle_beta 90.00
_cell_angle_gamma 90.00
_space_group_name_H-M_alt 'P 4/m m m'
_space_group_IT_number 123
_space_group_name_Hall '-P 4 2'
loop_
_atom_site_label
_atom_site_fract_x
_atom_site_fract_y
_atom_site_fract_z
Li1 0.000 0.000 0.000
La1 0.000 0.000 0.500
Sn1 0.000 0.500 0.500
F1 0.500 0.500 0.000


No. 2
# PBE-GGA CdFeAg, optimized geometry
# E_form = 0.605 eV per atom
# Excess energy over the best structure of this formula in the dataset = 1.00 eV per formula unit
# DFT total energy = -10.414 eV/f.u.
data_CdFeAg
_cell_length_a 6.219
_cell_length_b 6.219
_cell_length_c 6.219
_cell_angle_alpha 90.00
_cell_angle_beta 90.00
_cell_angle_gamma 90.00
_space_group_name_H-M_alt 'F -4 3 m'
_space_group_IT_number 216
_space_group_name_Hall 'F -4 2 3'
loop_
_atom_site_label
_atom_site_fract_x
_atom_site_fract_y
_atom_site_fract_z
Cd1 0.000 0.000 0.000
Fe1 0.250 0.250 0.750
Ag1 0.000 0.000 0.500